1.
Ca2PCl PBE optimized geometry; spin magnetization = 0.00 μB/f.u.; V = 97.5 Å³/cell; formation energy (no corrections) = -5.339 eV per formula unit; crystal system = monoclinic
1.0
-3.388 -2.562 5.817
1.031 -2.474 -4.509
2.341 -2.718 1.046
Ca Cl P
2 1 1
Cartesian
0.000 0.000 0.000
-0.523 -2.640 3.431
1.686 -2.596 -1.731
-1.178 -2.518 0.654

=====

2.
PrPaNiS4 PBE optimized geometry; spin magnetization = 0.00 μB/f.u.; V = 281.9 Å³/cell; formation energy (no corrections) = -10.429 eV per formula unit; crystal system = monoclinic
1.0
6.335 0.000 0.096
0.000 5.966 0.000
-2.356 0.000 7.423
S Ni Pa Pr
8 2 2 2
Cartesian
5.603 2.913 2.028
1.317 4.474 4.545
-1.624 5.896 5.491
1.565 1.491 6.538
2.662 1.491 2.975
-1.624 3.053 5.491
2.414 4.474 0.981
5.603 0.070 2.028
3.260 1.491 5.054
0.719 4.474 2.466
0.239 1.491 4.163
3.740 4.474 3.357
2.536 4.474 7.056
1.443 1.491 0.463

=====

3.
PPb PBE optimized geometry; spin magnetization = 0.23 μB/f.u.; V = 668.6 Å³/cell; DFT formation energy = 0.4435 eV/atom; crystal system = cubic
1.0
8.744 0.000 0.000
0.000 8.744 0.000
0.000 0.000 8.744
P Pb
8 8
Cartesian
1.451 1.451 1.451
5.823 2.921 2.921
1.451 7.293 7.293
5.823 5.823 5.823
2.921 2.921 5.823
7.293 7.293 1.451
2.921 5.823 2.921
7.293 1.451 7.293
1.358 1.358 7.386
7.386 7.386 7.386
5.730 5.730 3.014
7.386 1.358 1.358
3.014 3.014 3.014
1.358 7.386 1.358
3.014 5.730 5.730
5.730 3.014 5.730

=====

4.
CaCdPd PBE optimized geometry; spin magnetization = 0.00 μB/f.u.; V = 411.8 Å³/cell; DFT formation energy = -0.6010 eV/atom; crystal system = monoclinic
1.0
4.287 0.000 0.000
0.000 7.478 0.064
0.000 0.088 12.845
Pd Ca Cd
6 6 6
Cartesian
1.072 5.722 11.833
1.072 1.868 5.326
3.216 5.698 7.584
3.216 1.844 1.076
1.072 5.574 3.260
3.216 1.993 9.650
3.216 4.911 1.094
1.072 2.655 11.816
1.072 7.227 9.217
1.072 3.518 8.006
3.216 0.339 3.692
3.216 4.048 4.903
3.216 1.099 6.972
3.216 4.754 10.278
1.072 7.464 1.192
1.072 6.467 5.937
1.072 2.812 2.631
3.216 0.102 11.717

=====

What is the formula in the third record? PPb